Record 1
Here is a relaxed structure of Cd6Hg6Bi from the Alexandria database. Energies are from PBE-GGA.

## Properties
* density of states at the Fermi level: 0.365 states/eV/atom
* formation energy: 0.05 eV/atom
* M_tot: 0.00 μB per cell

The structure in POSCAR format:
```
Cd6Hg6Bi
1.0
-2.168 5.080 2.468
-3.624 -4.665 1.304
8.181 -1.971 6.285
Cd Hg Bi
6 6 1
direct
0.340 0.909 0.265
0.909 0.340 0.265
0.432 0.432 0.237
0.091 0.660 0.735
0.660 0.091 0.735
0.568 0.568 0.763
0.894 0.894 0.347
0.106 0.106 0.653
0.658 0.343 0.000
0.342 0.657 0.000
0.668 0.332 0.500
0.332 0.668 0.500
0.000 0.000 0.000
```


Record 2
Here is a relaxed structure of VReH from the Alexandria database. Energies are from PBE-GGA.

## Properties
* density of states at the Fermi level: 1.012 states/eV/atom
* energy above the lowest structure with this stoichiometry: 0.264 eV/atom
* M_tot: 0.00 μB per cell

The structure in POSCAR format:
```
VReH
1.0
2.557 0.000 0.000
0.000 2.557 0.000
-1.278 -1.278 5.007
Re H V
1 1 1
direct
0.953 0.953 0.906
0.673 0.673 0.346
0.224 0.224 0.448
```


Record 3
Here is a relaxed structure of Li5SnPt6 from the Alexandria database. Energies are from PBE-GGA.

## Properties
* density of states at the Fermi level: 0.308 states/eV/atom
* formation energy: -0.57 eV/atom
* M_tot: 0.00 μB per cell

The structure in POSCAR format:
```
Li5SnPt6
1.0
4.132 0.017 -1.206
-0.831 5.319 -2.770
-0.088 0.388 7.388
Sn Pt Li
1 6 5
direct
0.000 0.000 0.000
0.828 0.569 0.656
0.828 0.087 0.656
0.500 0.732 0.000
0.500 0.268 0.000
0.172 0.913 0.344
0.172 0.431 0.344
0.663 0.163 0.325
0.330 0.330 0.660
0.000 0.500 0.000
0.670 0.670 0.340
0.337 0.837 0.675
```


Record 4
Here is a relaxed structure of ErTmHgRh from the Alexandria database. Energies are from PBE-GGA.

## Properties
* density of states at the Fermi level: 0.628 states/eV/atom
* energy above the lowest structure with this stoichiometry: 0.000 eV/atom
* formation energy: -0.73 eV/atom
* M_tot: 0.00 μB per cell

The structure in POSCAR format:
```
ErTmHgRh
1.0
3.461 0.000 0.000
0.000 3.461 0.000
0.000 0.000 7.426
Er Tm Hg Rh
1 1 1 1
direct
0.500 0.500 0.792
0.500 0.500 0.351
0.000 0.000 0.073
0.000 0.000 0.569
```


Record 5
Here is a relaxed structure of Pr7Sm2Dy3 from the Alexandria database. Energies are from PBE-GGA.

## Properties
* density of states at the Fermi level: 1.486 states/eV/atom
* energy above the lowest structure with this stoichiometry: 0.024 eV/atom
* formation energy: 0.09 eV/atom
* M_tot: 0.00 μB per cell

The structure in POSCAR format:
```
Pr7Sm2Dy3
1.0
-2.920 -1.687 1.415
2.931 -0.766 5.136
-7.291 17.045 5.269
Pr Sm Dy
7 2 3
direct
0.500 0.742 0.465
0.500 0.258 0.535
0.000 0.671 0.145
0.000 0.000 0.000
0.000 0.329 0.855
0.500 0.826 0.817
0.500 0.174 0.183
0.500 0.702 0.298
0.500 0.298 0.702
0.500 0.500 0.000
0.000 0.214 0.368
0.000 0.786 0.632
```


Record 6
Here is a relaxed structure of CuPBr2 from the Alexandria database. Energies are from PBE-GGA.

## Properties
* density of states at the Fermi level: 0.403 states/eV/atom
* energy above the lowest structure with this stoichiometry: 0.547 eV/atom
* energy relative to the elements, uncorrected: 402 meV per atom
* M_tot: 0.00 μB per cell

The structure in POSCAR format:
```
CuPBr2
1.0
6.228 0.190 0.014
1.648 6.009 0.014
1.785 1.405 2.500
Br Cu P
2 1 1
direct
0.000 0.000 0.000
0.500 0.500 0.000
0.500 0.000 0.500
0.000 0.500 0.500
```


Record 7
Here is a relaxed structure of AlTlIn2 from the Alexandria database. Energies are from PBE-GGA.

## Properties
* density of states at the Fermi level: 0.337 states/eV/atom
* energy above the lowest structure with this stoichiometry: 0.069 eV/atom
* formation energy: 0.16 eV/atom
* M_tot: 0.00 μB per cell

The structure in POSCAR format:
```
AlTlIn2
1.0
5.283 0.000 0.000
2.641 4.575 0.000
2.641 1.525 4.314
Tl Al In
1 1 2
direct
0.250 0.250 0.250
0.500 0.500 0.500
0.000 0.000 0.000
0.750 0.750 0.750
```


Record 8
Here is a relaxed structure of HoGeB from the Alexandria database. Energies are from PBE-GGA.

## Properties
* density of states at the Fermi level: 0.061 states/eV/atom
* energy above the lowest structure with this stoichiometry: 0.348 eV/atom
* formation energy: -0.13 eV/atom
* M_tot: 0.00 μB per cell

The structure in POSCAR format:
```
HoGeB
1.0
-1.936 1.288 2.751
1.142 -4.529 2.924
8.611 4.672 3.873
Ho B Ge
4 4 4
direct
0.750 0.757 0.442
0.250 0.257 0.058
0.250 0.243 0.558
0.750 0.743 0.942
0.750 0.284 0.841
0.250 0.784 0.659
0.250 0.716 0.159
0.750 0.216 0.341
0.750 0.935 0.190
0.250 0.435 0.310
0.250 0.065 0.810
0.750 0.565 0.690
```


Record 9
Here is a relaxed structure of MgSc3H from the Alexandria database. Energies are from PBE-GGA.

## Properties
* density of states at the Fermi level: 1.762 states/eV/atom
* energy above the lowest structure with this stoichiometry: 1.416 eV/atom
* M_tot: 0.01 μB per cell

The structure in POSCAR format:
```
MgSc3H
1.0
-1.229 -0.111 -5.170
-0.064 -5.313 0.130
-5.170 0.092 1.227
Sc H Mg
3 1 1
direct
0.000 0.500 0.000
0.000 0.000 0.500
0.500 0.000 0.000
0.500 0.500 0.500
0.000 0.000 0.000
```


Record 10
Here is a relaxed structure of MnBe2Cl from the Alexandria database. Energies are from PBE-GGA.

## Properties
* density of states at the Fermi level: 0.432 states/eV/atom
* energy above the lowest structure with this stoichiometry: 0.533 eV/atom
* energy relative to the elements, uncorrected: 604 meV per atom
* M_tot: 2.69 μB per cell

The structure in POSCAR format:
```
MnBe2Cl
1.0
4.799 0.011 0.000
2.407 4.152 0.000
-3.603 -2.081 2.391
Be Mn Cl
2 1 1
direct
0.000 0.000 0.000
0.500 0.500 0.000
0.750 0.250 0.500
0.250 0.750 0.500
```


Record 11
Here is a relaxed structure of TbSmErTh from the Alexandria database. Energies are from PBE-GGA.

## Properties
* density of states at the Fermi level: 2.089 states/eV/atom
* energy above the lowest structure with this stoichiometry: 0.135 eV/atom
* formation energy: 0.15 eV/atom
* M_tot: 0.00 μB per cell

The structure in POSCAR format:
```
TbSmErTh
1.0
-4.270 2.362 2.909
-0.217 -0.522 5.653
0.972 4.515 3.309
Tb Sm Th Er
1 1 1 1
direct
0.000 0.000 0.000
0.250 0.250 0.250
0.750 0.750 0.750
0.500 0.500 0.500
```


Record 12
Here is a relaxed structure of UCoGe2 from the Alexandria database. Energies are from PBE-GGA.

## Properties
* density of states at the Fermi level: 1.739 states/eV/atom
* formation energy: -0.30 eV/atom
* M_tot: 6.70 μB per cell

The structure in POSCAR format:
```
UCoGe2
1.0
4.131 0.000 0.000
0.000 6.482 0.000
0.000 0.000 10.403
U Co Ge
4 4 8
direct
0.750 0.699 0.635
0.250 0.801 0.135
0.250 0.301 0.365
0.750 0.199 0.865
0.750 0.006 0.365
0.250 0.494 0.865
0.250 0.994 0.635
0.750 0.506 0.135
0.750 0.166 0.569
0.250 0.334 0.069
0.250 0.834 0.431
0.750 0.666 0.931
0.750 0.631 0.342
0.250 0.869 0.842
0.250 0.369 0.658
0.750 0.131 0.158
```


Record 13
Here is a relaxed structure of TeMoOs2 from the Alexandria database. Energies are from PBE-GGA.

## Properties
* density of states at the Fermi level: 0.731 states/eV/atom
* energy relative to the elements, uncorrected: 528 meV per atom
* M_tot: 0.00 μB per cell

The structure in POSCAR format:
```
TeMoOs2
1.0
3.004 0.000 0.000
0.000 3.004 0.000
0.000 0.000 7.340
Mo Os Te
1 2 1
direct
0.500 0.500 0.750
0.000 0.000 0.986
0.000 0.000 0.514
0.500 0.500 0.250
```


Record 14
Here is a relaxed structure of Dy2YN3 from the Alexandria database. Energies are from PBE-GGA.

## Properties
* density of states at the Fermi level: 0.044 states/eV/atom
* energy relative to the elements, uncorrected: -1701 meV per atom
* M_tot: 0.00 μB per cell

The structure in POSCAR format:
```
Dy2YN3
1.0
4.914 -0.008 0.000
0.011 6.951 0.000
0.000 0.000 10.429
Dy Y N
8 4 12
direct
0.250 0.875 0.750
0.250 0.375 0.750
0.250 0.875 0.417
0.250 0.375 0.083
0.750 0.625 0.917
0.750 0.125 0.583
0.750 0.625 0.250
0.750 0.125 0.250
0.250 0.875 0.083
0.250 0.375 0.417
0.750 0.625 0.583
0.750 0.125 0.917
0.250 0.625 0.583
0.250 0.125 0.917
0.250 0.624 0.916
0.250 0.124 0.584
0.250 0.625 0.250
0.250 0.125 0.250
0.750 0.875 0.750
0.750 0.375 0.750
0.750 0.876 0.416
0.750 0.376 0.084
0.750 0.875 0.083
0.750 0.375 0.417
```


Record 15
Here is a relaxed structure of La6PmNdSm2 from the Alexandria database. Energies are from PBE-GGA.

## Properties
* density of states at the Fermi level: 1.847 states/eV/atom
* formation energy: 0.18 eV/atom
* M_tot: 0.00 μB per cell

The structure in POSCAR format:
```
La6PmNdSm2
1.0
9.260 0.000 0.971
0.000 7.049 0.000
-2.276 -3.524 5.301
La Pm Nd Sm
6 1 1 2
direct
0.422 0.629 0.257
0.196 0.038 0.609
0.804 0.428 0.391
0.196 0.572 0.609
0.804 0.962 0.391
0.578 0.371 0.743
0.000 0.500 0.000
0.500 0.000 0.000
0.171 0.075 0.149
0.829 0.925 0.851
```


Record 16
Here is a relaxed structure of Cd3InPb2 from the Alexandria database. Energies are from PBE-GGA.

## Properties
* density of states at the Fermi level: 0.433 states/eV/atom
* energy above the lowest structure with this stoichiometry: 0.000 eV/atom
* formation energy: 0.04 eV/atom
* M_tot: 0.00 μB per cell

The structure in POSCAR format:
```
Cd3InPb2
1.0
5.281 -0.165 -2.791
-3.356 4.939 -0.240
-0.101 0.274 6.253
Cd In Pb
3 1 2
direct
0.500 0.500 0.500
0.000 0.000 0.500
0.500 0.000 0.500
0.000 0.000 0.000
0.759 0.379 0.138
0.241 0.621 0.862
```


Record 17
Here is a relaxed structure of Tb6CeDy3Tm2 from the Alexandria database. Energies are from PBE-GGA.

## Properties
* density of states at the Fermi level: 1.580 states/eV/atom
* formation energy: 0.04 eV/atom
* M_tot: 1.20 μB per cell

The structure in POSCAR format:
```
Tb6CeDy3Tm2
1.0
-3.549 2.190 -4.498
4.917 -3.406 -1.358
-6.951 -9.159 2.421
Tb Ce Dy Tm
6 1 3 2
direct
0.917 0.585 0.751
0.751 0.751 0.249
0.083 0.415 0.249
0.585 0.917 0.751
0.249 0.249 0.751
0.415 0.083 0.249
0.000 0.000 0.000
0.167 0.833 0.500
0.833 0.167 0.500
0.500 0.500 0.500
0.333 0.667 0.000
0.667 0.333 0.000
```


Record 18
Here is a relaxed structure of Tl2BiPPb from the Alexandria database. Energies are from PBE-GGA.

## Properties
* density of states at the Fermi level: 0.512 states/eV/atom
* formation energy: 0.30 eV/atom
* M_tot: 0.00 μB per cell

The structure in POSCAR format:
```
Tl2BiPPb
1.0
-2.290 4.693 -0.333
-5.019 -2.557 -1.510
-1.361 -0.307 5.043
Pb P Tl Bi
1 1 2 1
direct
0.000 0.500 0.000
0.000 0.000 0.000
0.000 0.000 0.500
0.500 0.000 0.000
0.500 0.500 0.500
```


Record 19
Here is a relaxed structure of BaYSb2 from the Alexandria database. Energies are from PBE-GGA.

## Properties
* density of states at the Fermi level: 1.143 states/eV/atom
* energy above the lowest structure with this stoichiometry: 0.703 eV/atom
* energy relative to the elements, uncorrected: -250 meV per atom
* M_tot: 0.00 μB per cell

The structure in POSCAR format:
```
BaYSb2
1.0
5.599 0.000 0.000
2.800 4.849 0.000
2.800 1.616 4.572
Ba Sb Y
1 2 1
direct
0.500 0.500 0.500
0.000 0.000 0.000
0.250 0.250 0.250
0.750 0.750 0.750
```


Record 20
Here is a relaxed structure of SrSnSb2Au6 from the Alexandria database. Energies are from PBE-GGA.

## Properties
* density of states at the Fermi level: 0.280 states/eV/atom
* energy relative to the elements, uncorrected: -239 meV per atom
* M_tot: 0.00 μB per cell

The structure in POSCAR format:
```
SrSnSb2Au6
1.0
8.485 -1.448 -0.236
-2.476 8.244 -0.236
-2.349 -2.656 7.445
Sr Sn Sb Au
2 2 4 12
direct
0.137 0.863 0.250
0.863 0.137 0.750
0.679 0.321 0.250
0.321 0.679 0.750
0.253 0.097 0.932
0.903 0.747 0.568
0.747 0.903 0.068
0.097 0.253 0.432
0.265 0.577 0.046
0.423 0.735 0.454
0.735 0.423 0.954
0.577 0.265 0.546
0.415 0.015 0.701
0.985 0.585 0.799
0.585 0.985 0.299
0.015 0.415 0.201
0.638 0.634 0.709
0.366 0.362 0.791
0.362 0.366 0.291
0.634 0.638 0.209
```


Calculated energy, -0.060, -0.583, -0.347, -0.360, -0.341, -0.207, -0.201, -0.398, -0.257, -0.295, -0.381, -0.530, -0.631, -0.623, -0.343, -0.155, -0.343, -0.239, -0.324, -0.265 Ry per atom (same order as the records).